{
  "formula": "ErMg2Au",
  "functional": "PBE-GGA",
  "state": "relaxed",
  "lattice_angstrom": [[0.0000, 3.4593, 3.4593], [3.4593, 0.0000, 3.4593], [3.4593, 3.4593, 0.0000]],
  "species": ["Er", "Mg", "Mg", "Au"],
  "fractional_positions": [[0.0000, 0.0000, 0.0000], [0.2500, 0.2500, 0.2500], [0.7500, 0.7500, 0.7500], [0.5000, 0.5000, 0.5000]],
  "ef_ev_per_atom": -0.287,
  "magnetic_moment_mub_per_atom": 0.000
}

=====

{
  "formula": "Er5Mg4Au",
  "functional": "PBE-GGA",
  "state": "relaxed",
  "lattice_angstrom": [[3.7144, 0.0000, 0.0000], [0.0000, 3.7144, 0.0000], [0.0000, 0.0000, 18.5993]],
  "species": ["Er", "Er", "Er", "Er", "Er", "Mg", "Mg", "Mg", "Mg", "Au"],
  "fractional_positions": [[0.0000, 0.0000, 0.0000], [0.0000, 0.0000, 0.2062], [0.0000, 0.0000, 0.4097], [0.0000, 0.0000, 0.5903], [0.0000, 0.0000, 0.7938], [0.5000, 0.5000, 0.1031], [0.5000, 0.5000, 0.3055], [0.5000, 0.5000, 0.6945], [0.5000, 0.5000, 0.8969], [0.5000, 0.5000, 0.5000]],
  "ef_ev_per_atom": -0.230,
  "magnetic_moment_mub_per_atom": 0.000
}

=====

{
  "formula": "Er5MgAu6",
  "functional": "PBE-GGA",
  "state": "relaxed",
  "lattice_angstrom": [[4.3278, -7.5085, 0.0000], [4.3278, 7.5085, 0.0000], [-2.8550, 0.0000, 4.0803]],
  "species": ["Er", "Er", "Er", "Er", "Er", "Mg", "Au", "Au", "Au", "Au", "Au", "Au"],
  "fractional_positions": [[0.0000, 0.0000, 0.0000], [0.1686, 0.8314, 0.5000], [0.3387, 0.6613, 0.0000], [0.6613, 0.3387, 0.0000], [0.8314, 0.1686, 0.5000], [0.5000, 0.5000, 0.5000], [0.0800, 0.4159, 0.2482], [0.2443, 0.2443, 0.7431], [0.4159, 0.0800, 0.2482], [0.5841, 0.9200, 0.7518], [0.7557, 0.7557, 0.2569], [0.9200, 0.5841, 0.7518]],
  "ef_ev_per_atom": -0.838,
  "magnetic_moment_mub_per_atom": 0.000
}

=====

{
  "formula": "Er4MgAu2",
  "functional": "PBE-GGA",
  "state": "relaxed",
  "lattice_angstrom": [[2.4812, 1.4325, 9.0656], [-2.4812, 1.4325, 9.0656], [0.0000, -2.8650, 9.0656]],
  "species": ["Er", "Er", "Er", "Er", "Mg", "Au", "Au"],
  "fractional_positions": [[0.1131, 0.1131, 0.1131], [0.2949, 0.2949, 0.2949], [0.7051, 0.7051, 0.7051], [0.8869, 0.8869, 0.8869], [0.5000, 0.5000, 0.5000], [0.4015, 0.4015, 0.4015], [0.5985, 0.5985, 0.5985]],
  "ef_ev_per_atom": -0.361,
  "magnetic_moment_mub_per_atom": 0.000
}

=====

{
  "formula": "Er3Mg2Au3",
  "functional": "PBE-GGA",
  "state": "relaxed",
  "lattice_angstrom": [[8.5205, 0.0000, 0.0000], [-4.2602, 7.3789, 0.0000], [0.0000, 0.0000, 5.7716]],
  "species": ["Er", "Er", "Er", "Er", "Er", "Er", "Mg", "Mg", "Mg", "Mg", "Au", "Au", "Au", "Au", "Au", "Au"],
  "fractional_positions": [[0.0000, 0.2607, 0.2500], [0.0000, 0.7393, 0.7500], [0.2607, 0.0000, 0.2500], [0.2607, 0.2607, 0.7500], [0.7393, 0.0000, 0.7500], [0.7393, 0.7393, 0.2500], [0.3333, 0.6667, 0.0000], [0.3333, 0.6667, 0.5000], [0.6667, 0.3333, 0.0000], [0.6667, 0.3333, 0.5000], [0.0000, 0.3908, 0.7500], [0.0000, 0.6092, 0.2500], [0.3908, 0.0000, 0.7500], [0.3908, 0.3908, 0.2500], [0.6092, 0.0000, 0.2500], [0.6092, 0.6092, 0.7500]],
  "e_above_lowest_polymorph_ev_per_atom": 0.000,
  "ef_ev_per_atom": -0.724,
  "magnetic_moment_mub_per_atom": 0.000
}

=====

{
  "formula": "Er3Mg2Au3",
  "functional": "PBE-GGA",
  "state": "relaxed",
  "lattice_angstrom": [[-1.7509, 2.5455, 10.2265], [1.7509, -2.5455, 10.2265], [1.7509, 2.5455, -10.2265]],
  "species": ["Er", "Er", "Er", "Mg", "Mg", "Au", "Au", "Au"],
  "fractional_positions": [[0.0000, 0.0000, 0.0000], [0.3779, 0.8779, 0.5000], [0.6221, 0.1221, 0.5000], [0.2341, 0.2341, 0.0000], [0.7659, 0.7659, 0.0000], [0.1252, 0.6252, 0.5000], [0.5000, 0.5000, 0.0000], [0.8748, 0.3748, 0.5000]],
  "e_above_lowest_polymorph_ev_per_atom": 0.091,
  "ef_ev_per_atom": -0.633,
  "magnetic_moment_mub_per_atom": 0.000
}

=====

Please write out number 1 again, unchanged.
{
  "formula": "ErMg2Au",
  "functional": "PBE-GGA",
  "state": "relaxed",
  "lattice_angstrom": [[0.0000, 3.4593, 3.4593], [3.4593, 0.0000, 3.4593], [3.4593, 3.4593, 0.0000]],
  "species": ["Er", "Mg", "Mg", "Au"],
  "fractional_positions": [[0.0000, 0.0000, 0.0000], [0.2500, 0.2500, 0.2500], [0.7500, 0.7500, 0.7500], [0.5000, 0.5000, 0.5000]],
  "ef_ev_per_atom": -0.287,
  "magnetic_moment_mub_per_atom": 0.000
}

=====

- What is the formula in the first record?
  ErMg2Au

=====

- What is the formula in the second record?
  Er5Mg4Au